No. 1
A plane-wave DFT calculation with PBE-GGA was carried out for a geometry-optimized AlCdGeSe2 structure.

Computed properties:
Total magnetization in μB/f.u.: 0.00
Uncorrected energy in eV per cell: -13.03
ΔE_f (raw) in eV per formula unit: 3.211

a = 5.3469 Å, b = 5.3469 Å, c = 5.0924 Å
α = 90.00°, β = 90.00°, γ = 90.00°
Last column: nearest neighbours and their distance in Å.
Space group P4/mmm (No. 123)
Unique sites:
Al (0.0000, 0.0000, 0.0000)  8 Se 3.69, 4 Ge 3.78
Cd (0.5000, 0.5000, 0.5000)  2 Ge 2.55, 4 Se 2.67
Ge (0.5000, 0.5000, 0.0000)  2 Cd 2.55
Se (0.0000, 0.5000, 0.5000)  2 Cd 2.67

No. 2
A plane-wave DFT calculation with PBE-GGA was carried out for a geometry-optimized V3NiRh structure.

Computed properties:
Total magnetization in μB/f.u.: 0.00
Uncorrected energy in eV per cell: -80.55

a = 4.2790 Å, b = 6.1103 Å, c = 5.1995 Å
α = 90.00°, β = 91.85°, γ = 90.00°
Last column: nearest neighbours and their distance in Å.
Space group P2_1/m (No. 11)
Unique sites:
V (0.1859, 0.2500, 0.0231)  1 Ni 2.29, 1 Rh 2.38, 2 V 2.50
V (0.3024, 0.5596, 0.7261)  2 V 2.33-2.50, 1 Ni 2.36
Ni (0.2024, 0.2500, 0.4632)  3 V 2.29-2.36
Rh (0.2766, 0.7500, 0.2445)  3 V 2.38-2.61, 2 Ni 2.59-2.66

What did the first record say?
A plane-wave DFT calculation with PBE-GGA was carried out for a geometry-optimized AlCdGeSe2 structure.

Computed properties:
Total magnetization in μB/f.u.: 0.00
Uncorrected energy in eV per cell: -13.03
ΔE_f (raw) in eV per formula unit: 3.211

a = 5.3469 Å, b = 5.3469 Å, c = 5.0924 Å
α = 90.00°, β = 90.00°, γ = 90.00°
Last column: nearest neighbours and their distance in Å.
Space group P4/mmm (No. 123)
Unique sites:
Al (0.0000, 0.0000, 0.0000)  8 Se 3.69, 4 Ge 3.78
Cd (0.5000, 0.5000, 0.5000)  2 Ge 2.55, 4 Se 2.67
Ge (0.5000, 0.5000, 0.0000)  2 Cd 2.55
Se (0.0000, 0.5000, 0.5000)  2 Cd 2.67

The lowest uncorrected energy belongs to which entry?
V3NiRh